A plane-wave DFT calculation with GGA-PBEsol was carried out for a relaxed SrHfIn3 crystal.

calculated formation energy: 1.404 eV/atom
symmetry: Pm-3m (221)
M_tot: 0.002 μB per atom

Unit cell a=5.559 b=5.559 c=5.559 alpha=90.00 beta=90.00 gamma=90.00
Atoms (fractional coordinates):
Sr: 0.000 0.000 0.000
Hf: 0.500 0.500 0.500
In: 0.000 0.000 0.500
In: 0.000 0.500 0.000
In: 0.500 0.000 0.000

=====

A plane-wave DFT calculation with GGA-PBEsol was carried out for a relaxed HfTaTiIn2 crystal.

calculated formation energy: 1.031 eV/atom
symmetry: P4/mmm (123)
M_tot: 0.000 μB per atom

Unit cell a=5.191 b=5.191 c=4.524 alpha=90.00 beta=90.00 gamma=90.00
Atoms (fractional coordinates):
Hf: 0.000 0.000 0.000
Ta: 0.500 0.500 0.500
Ti: 0.500 0.500 0.000
In: 0.000 0.500 0.500
In: 0.500 0.000 0.500